TiVInF6: optimized geometry, PBE+U.

Size of the total moment (μB per formula unit): 4.0
Space group: No. 163
Uncorrected energy (eV/cell): -107.327

a b c (Å): 5.5316 5.5316 11.9452
angles (deg): 90.00 90.00 120.00
Each line ends with the local moment (μB).
Fractional positions:
1 Ti 0.6667 0.3333 0.2500  0.93
2 Ti 0.3333 0.6667 0.7500  0.93
3 V 0.3333 0.6667 0.2500  2.75
4 V 0.6667 0.3333 0.7500  2.75
5 In 0.0000 0.0000 0.0000  0.00
6 In 0.0000 0.0000 0.5000  0.00
7 F 0.6379 0.6204 0.1576  0.01
8 F 0.9825 0.3621 0.1576  0.01
9 F 0.3621 0.9825 0.6576  0.01
10 F 0.0175 0.6379 0.8424  0.01
11 F 0.3796 0.3621 0.3424  0.01
12 F 0.9825 0.6204 0.3424  0.01
13 F 0.6204 0.9825 0.8424  0.01
14 F 0.6379 0.0175 0.3424  0.01
15 F 0.0175 0.3796 0.6576  0.01
16 F 0.3796 0.0175 0.1576  0.01
17 F 0.6204 0.6379 0.6576  0.01
18 F 0.3621 0.3796 0.8424  0.01